Record 1
# CaGaAg4 | the Alexandria database | GGA-PBE | relaxed
# DOS at the Fermi energy: 4.79 states/eV/cell
# E_form: -0.135 eV per atom
# energy above the lowest structure with this stoichiometry: 0 meV/atom
data_CaGaAg4
_symmetry_space_group_name_H-M 'P 1'
_symmetry_Int_Tables_number 1
_symmetry_space_group_name_Hall 'P 1'
_cell_length_a 5.605
_cell_length_b 5.605
_cell_length_c 5.605
_cell_angle_alpha 60.00
_cell_angle_beta 60.00
_cell_angle_gamma 60.00
loop_
_atom_site_label
_atom_site_fract_x
_atom_site_fract_y
_atom_site_fract_z
Ga1 0.000 0.000 0.000
Ag1 0.625 0.625 0.125
Ag2 0.625 0.125 0.625
Ag3 0.125 0.625 0.625
Ag4 0.625 0.625 0.625
Ca1 0.250 0.250 0.250



Record 2
# P3PdAu | the Alexandria database | GGA-PBE | relaxed
# DOS at the Fermi energy: 3.71 states/eV/cell
# E_form: 0.931 eV per atom
# energy above the lowest structure with this stoichiometry: 0 meV/atom
data_P3PdAu
_symmetry_space_group_name_H-M 'P 1'
_symmetry_Int_Tables_number 1
_symmetry_space_group_name_Hall 'P 1'
_cell_length_a 4.665
_cell_length_b 4.665
_cell_length_c 4.665
_cell_angle_alpha 90.00
_cell_angle_beta 90.00
_cell_angle_gamma 90.00
loop_
_atom_site_label
_atom_site_fract_x
_atom_site_fract_y
_atom_site_fract_z
P1 0.000 0.000 0.500
P2 0.000 0.500 0.000
P3 0.500 0.000 0.000
Pd1 0.000 0.000 0.000
Au1 0.500 0.500 0.500



Record 3
# Y2ZrBr | the Alexandria database | GGA-PBE | relaxed
# DOS at the Fermi energy: 3.91 states/eV/cell
# energy above the lowest structure with this stoichiometry: 665 meV/atom
data_Y2ZrBr
_symmetry_space_group_name_H-M 'P 1'
_symmetry_Int_Tables_number 1
_symmetry_space_group_name_Hall 'P 1'
_cell_length_a 5.390
_cell_length_b 5.390
_cell_length_c 5.390
_cell_angle_alpha 60.00
_cell_angle_beta 60.00
_cell_angle_gamma 60.00
loop_
_atom_site_label
_atom_site_fract_x
_atom_site_fract_y
_atom_site_fract_z
Zr1 0.500 0.500 0.500
Y1 0.750 0.750 0.750
Y2 0.250 0.250 0.250
Br1 0.000 0.000 0.000



The lowest DOS at the Fermi energy belongs to which entry?
P3PdAu



What is the formula in the first record?
CaGaAg4



What is the DOS at the Fermi energy in the first record?
4.79 states/eV/cell